No. 1
# HfSc2Sn (GGA-PBE, optimized geometry)
# Fermi-level density of states   3.1 states/eV/f.u.
# Calculated formation energy   -0.274 eV/atom
# Energy   -27.716 eV/cell
# Total magnetization   0.00 μB/f.u.
data_HfSc2Sn
_chemical_formula_sum 'Hf1 Sc2 Sn1'
_cell_length_a 3.3903
_cell_length_b 3.3903
_cell_length_c 7.9661
_cell_angle_alpha 90.00
_cell_angle_beta 90.00
_cell_angle_gamma 90.00
_space_group_name_H-M_alt 'P 4/m m m'
_space_group_IT_number 123
_space_group_name_Hall '-P 4 2'
loop_
_atom_site_label
_atom_site_fract_x
_atom_site_fract_y
_atom_site_fract_z
_atom_site_occupancy
Hf1 0.0000 0.0000 0.0000 1
Sc1 0.5000 0.5000 0.2546 1
Sn1 0.0000 0.0000 0.5000 1



No. 2
# Hf5Sc5Sn6 (GGA-PBE, optimized geometry)
# Fermi-level density of states   10.7 states/eV/f.u.
# Calculated formation energy   -0.507 eV/atom
# Energy   -227.119 eV/cell
# Total magnetization   0.64 μB/f.u.
data_Hf5Sc5Sn6
_chemical_formula_sum 'Hf10 Sc10 Sn12'
_cell_length_a 5.8314
_cell_length_b 14.5347
_cell_length_c 8.4394
_cell_angle_alpha 90.00
_cell_angle_beta 90.00
_cell_angle_gamma 90.00
_space_group_name_H-M_alt 'A m m 2'
_space_group_IT_number 38
_space_group_name_Hall 'A 2 -2'
loop_
_atom_site_label
_atom_site_fract_x
_atom_site_fract_y
_atom_site_fract_z
_atom_site_occupancy
Hf1 0.0000 0.0000 0.0000 1
Hf2 0.0000 0.1188 0.3512 1
Hf3 0.5000 0.1188 0.1146 1
Sc1 0.2493 0.1674 0.7364 1
Sc2 0.5000 0.0000 0.4748 1
Sn1 0.0000 0.0000 0.6276 1
Sn2 0.0000 0.1973 0.0377 1
Sn3 0.5000 0.0000 0.8408 1
Sn4 0.5000 0.1958 0.4327 1



No. 3
# HfScSn2 (GGA-PBE, optimized geometry)
# Excess energy over the best structure of this formula in the dataset   0 meV/atom
# Fermi-level density of states   1.7 states/eV/f.u.
# Calculated formation energy   -0.388 eV/atom
# Energy   -25.843 eV/cell
# Total magnetization   0.58 μB/f.u.
data_HfScSn2
_chemical_formula_sum 'Hf1 Sc1 Sn2'
_cell_length_a 3.2316
_cell_length_b 3.2316
_cell_length_c 8.5820
_cell_angle_alpha 90.00
_cell_angle_beta 90.00
_cell_angle_gamma 90.00
_space_group_name_H-M_alt 'P 4/m m m'
_space_group_IT_number 123
_space_group_name_Hall '-P 4 2'
loop_
_atom_site_label
_atom_site_fract_x
_atom_site_fract_y
_atom_site_fract_z
_atom_site_occupancy
Hf1 0.0000 0.0000 0.0000 1
Sc1 0.0000 0.0000 0.5000 1
Sn1 0.5000 0.5000 0.2489 1



No. 4
# HfScSn (GGA-PBE, optimized geometry)
# Excess energy over the best structure of this formula in the dataset   311 meV/atom
# Fermi-level density of states   2.9 states/eV/f.u.
# Calculated formation energy   -0.183 eV/atom
# Energy   -83.348 eV/cell
# Total magnetization   0.33 μB/f.u.
data_HfScSn
_chemical_formula_sum 'Hf4 Sc4 Sn4'
_cell_length_a 8.3056
_cell_length_b 4.9739
_cell_length_c 6.6946
_cell_angle_alpha 90.00
_cell_angle_beta 91.90
_cell_angle_gamma 90.00
_space_group_name_H-M_alt 'C 1 2/m 1'
_space_group_IT_number 12
_space_group_name_Hall '-C 2y'
loop_
_atom_site_label
_atom_site_fract_x
_atom_site_fract_y
_atom_site_fract_z
_atom_site_occupancy
Hf1 0.1676 0.0000 0.4025 1
Sc1 0.1633 0.0000 0.8807 1
Sn1 0.0028 0.5000 0.2534 1



No. 5
# HfSc2Sn4 (GGA-PBE, optimized geometry)
# Fermi-level density of states   5.6 states/eV/f.u.
# Calculated formation energy   0.030 eV/atom
# Energy   -76.837 eV/cell
# Total magnetization   0.00 μB/f.u.
data_HfSc2Sn4
_chemical_formula_sum 'Hf2 Sc4 Sn8'
_cell_length_a 5.4161
_cell_length_b 5.4161
_cell_length_c 14.4361
_cell_angle_alpha 90.00
_cell_angle_beta 90.00
_cell_angle_gamma 90.00
_space_group_name_H-M_alt 'I 4/m m m'
_space_group_IT_number 139
_space_group_name_Hall '-I 4 2'
loop_
_atom_site_label
_atom_site_fract_x
_atom_site_fract_y
_atom_site_fract_z
_atom_site_occupancy
Hf1 0.0000 0.0000 0.0000 1
Sc1 0.0000 0.0000 0.3970 1
Sn1 0.0000 0.0000 0.1956 1
Sn2 0.0000 0.5000 0.0000 1



No. 6
# HfScSn2 (GGA-PBE, optimized geometry)
# Excess energy over the best structure of this formula in the dataset   37 meV/atom
# Fermi-level density of states   4.1 states/eV/f.u.
# Calculated formation energy   -0.351 eV/atom
# Energy   -25.695 eV/cell
# Total magnetization   0.00 μB/f.u.
data_HfScSn2
_chemical_formula_sum 'Hf1 Sc1 Sn2'
_cell_length_a 4.5615
_cell_length_b 4.5615
_cell_length_c 4.2772
_cell_angle_alpha 90.00
_cell_angle_beta 90.00
_cell_angle_gamma 90.00
_space_group_name_H-M_alt 'P 4/m m m'
_space_group_IT_number 123
_space_group_name_Hall '-P 4 2'
loop_
_atom_site_label
_atom_site_fract_x
_atom_site_fract_y
_atom_site_fract_z
_atom_site_occupancy
Hf1 0.0000 0.0000 0.0000 1
Sc1 0.5000 0.5000 0.0000 1
Sn1 0.0000 0.5000 0.5000 1



No. 7
# HfSc2Sn (GGA-PBE, optimized geometry)
# Fermi-level density of states   4.3 states/eV/f.u.
# Calculated formation energy   -0.222 eV/atom
# Energy   -82.526 eV/cell
# Total magnetization   0.00 μB/f.u.
data_HfSc2Sn
_chemical_formula_sum 'Hf3 Sc6 Sn3'
_cell_length_a 3.3088
_cell_length_b 3.3088
_cell_length_c 29.7215
_cell_angle_alpha 90.00
_cell_angle_beta 90.00
_cell_angle_gamma 120.00
_space_group_name_H-M_alt 'R 3 m'
_space_group_IT_number 160
_space_group_name_Hall 'R 3 -2"'
loop_
_atom_site_label
_atom_site_fract_x
_atom_site_fract_y
_atom_site_fract_z
_atom_site_occupancy
Hf1 0.0000 0.0000 0.0000 1
Sc1 0.0000 0.0000 0.5835 1
Sc2 0.0000 0.0000 0.7502 1
Sn1 0.0000 0.0000 0.1667 1



No. 8
# HfSc2TaSn (GGA-PBE, optimized geometry)
# Fermi-level density of states   5.7 states/eV/f.u.
# Calculated formation energy   1.332 eV/atom
# Energy   -31.810 eV/cell
# Total magnetization   0.00 μB/f.u.
data_HfSc2TaSn
_chemical_formula_sum 'Hf1 Sc2 Ta1 Sn1'
_cell_length_a 4.9126
_cell_length_b 4.9126
_cell_length_c 5.3214
_cell_angle_alpha 90.00
_cell_angle_beta 90.00
_cell_angle_gamma 90.00
_space_group_name_H-M_alt 'P 4/m m m'
_space_group_IT_number 123
_space_group_name_Hall '-P 4 2'
loop_
_atom_site_label
_atom_site_fract_x
_atom_site_fract_y
_atom_site_fract_z
_atom_site_occupancy
Hf1 0.0000 0.0000 0.0000 1
Sc1 0.0000 0.5000 0.0000 1
Ta1 0.5000 0.5000 0.5000 1
Sn1 0.0000 0.0000 0.5000 1



No. 9
# HfScSnTe2 (GGA-PBE, optimized geometry)
# Fermi-level density of states   4.7 states/eV/f.u.
# Energy   -24.529 eV/cell
# Formation energy from raw total energies   408.4 meV/atom
# Total magnetization   0.00 μB/f.u.
data_HfScSnTe2
_chemical_formula_sum 'Hf1 Sc1 Sn1 Te2'
_cell_length_a 5.4204
_cell_length_b 5.4204
_cell_length_c 5.3617
_cell_angle_alpha 90.00
_cell_angle_beta 90.00
_cell_angle_gamma 90.00
_space_group_name_H-M_alt 'P 4/m m m'
_space_group_IT_number 123
_space_group_name_Hall '-P 4 2'
loop_
_atom_site_label
_atom_site_fract_x
_atom_site_fract_y
_atom_site_fract_z
_atom_site_occupancy
Hf1 0.0000 0.0000 0.0000 1
Sc1 0.0000 0.0000 0.5000 1
Sn1 0.5000 0.5000 0.0000 1
Te1 0.0000 0.5000 0.5000 1



No. 10
# Hf2ScSnW (GGA-PBE, optimized geometry)
# Fermi-level density of states   6.7 states/eV/f.u.
# Calculated formation energy   1.436 eV/atom
# Energy   -36.014 eV/cell
# Total magnetization   0.00 μB/f.u.
data_Hf2ScSnW
_chemical_formula_sum 'Hf2 Sc1 Sn1 W1'
_cell_length_a 5.0200
_cell_length_b 5.0200
_cell_length_c 4.6345
_cell_angle_alpha 90.00
_cell_angle_beta 90.00
_cell_angle_gamma 90.00
_space_group_name_H-M_alt 'P 4/m m m'
_space_group_IT_number 123
_space_group_name_Hall '-P 4 2'
loop_
_atom_site_label
_atom_site_fract_x
_atom_site_fract_y
_atom_site_fract_z
_atom_site_occupancy
Hf1 0.0000 0.5000 0.0000 1
Sc1 0.0000 0.0000 0.0000 1
Sn1 0.5000 0.5000 0.5000 1
W1 0.0000 0.0000 0.5000 1



No. 11
# Y2HfScSn (GGA-PBE, optimized geometry)
# Fermi-level density of states   5.6 states/eV/f.u.
# Calculated formation energy   0.807 eV/atom
# Energy   -29.179 eV/cell
# Total magnetization   0.33 μB/f.u.
data_Y2HfScSn
_chemical_formula_sum 'Y2 Hf1 Sc1 Sn1'
_cell_length_a 5.2157
_cell_length_b 5.2157
_cell_length_c 5.3834
_cell_angle_alpha 90.00
_cell_angle_beta 90.00
_cell_angle_gamma 90.00
_space_group_name_H-M_alt 'P 4/m m m'
_space_group_IT_number 123
_space_group_name_Hall '-P 4 2'
loop_
_atom_site_label
_atom_site_fract_x
_atom_site_fract_y
_atom_site_fract_z
_atom_site_occupancy
Y1 0.0000 0.5000 0.0000 1
Hf1 0.0000 0.0000 0.5000 1
Sc1 0.5000 0.5000 0.0000 1
Sn1 0.5000 0.5000 0.5000 1



No. 12
# HfSc2ZnSn (GGA-PBE, optimized geometry)
# Fermi-level density of states   5.7 states/eV/f.u.
# Calculated formation energy   0.775 eV/atom
# Energy   -24.017 eV/cell
# Total magnetization   0.00 μB/f.u.
data_HfSc2ZnSn
_chemical_formula_sum 'Hf1 Sc2 Zn1 Sn1'
_cell_length_a 5.1593
_cell_length_b 5.1593
_cell_length_c 5.1117
_cell_angle_alpha 90.00
_cell_angle_beta 90.00
_cell_angle_gamma 90.00
_space_group_name_H-M_alt 'P 4/m m m'
_space_group_IT_number 123
_space_group_name_Hall '-P 4 2'
loop_
_atom_site_label
_atom_site_fract_x
_atom_site_fract_y
_atom_site_fract_z
_atom_site_occupancy
Hf1 0.0000 0.0000 0.0000 1
Sc1 0.0000 0.5000 0.0000 1
Zn1 0.0000 0.0000 0.5000 1
Sn1 0.5000 0.5000 0.5000 1



No. 13
# SrHfSc3 (GGA-PBE, optimized geometry)
# Excess energy over the best structure of this formula in the dataset   0 meV/atom
# Fermi-level density of states   7.5 states/eV/f.u.
# Calculated formation energy   0.541 eV/atom
# Energy   -27.923 eV/cell
# Total magnetization   0.00 μB/f.u.
data_SrHfSc3
_chemical_formula_sum 'Sr1 Hf1 Sc3'
_cell_length_a 5.4084
_cell_length_b 5.4084
_cell_length_c 5.4084
_cell_angle_alpha 90.00
_cell_angle_beta 90.00
_cell_angle_gamma 90.00
_space_group_name_H-M_alt 'P m -3 m'
_space_group_IT_number 221
_space_group_name_Hall '-P 4 2 3'
loop_
_atom_site_label
_atom_site_fract_x
_atom_site_fract_y
_atom_site_fract_z
_atom_site_occupancy
Sr1 0.0000 0.0000 0.0000 1
Hf1 0.5000 0.5000 0.5000 1
Sc1 0.0000 0.5000 0.5000 1



No. 14
# SrHfSc2 (GGA-PBE, optimized geometry)
# Excess energy over the best structure of this formula in the dataset   0 meV/atom
# Fermi-level density of states   7.2 states/eV/f.u.
# Calculated formation energy   0.328 eV/atom
# Energy   -68.954 eV/cell
# Total magnetization   0.00 μB/f.u.
data_SrHfSc2
_chemical_formula_sum 'Sr3 Hf3 Sc6'
_cell_length_a 3.3434
_cell_length_b 3.3434
_cell_length_c 35.0033
_cell_angle_alpha 90.00
_cell_angle_beta 90.00
_cell_angle_gamma 120.00
_space_group_name_H-M_alt 'R -3 m'
_space_group_IT_number 166
_space_group_name_Hall '-R 3 2"'
loop_
_atom_site_label
_atom_site_fract_x
_atom_site_fract_y
_atom_site_fract_z
_atom_site_occupancy
Sr1 0.0000 0.0000 0.0000 1
Hf1 0.0000 0.0000 0.5000 1
Sc1 0.0000 0.0000 0.0964 1



No. 15
# Sr2HfSc (GGA-PBE, optimized geometry)
# Excess energy over the best structure of this formula in the dataset   0 meV/atom
# Fermi-level density of states   8.8 states/eV/f.u.
# Calculated formation energy   0.733 eV/atom
# Energy   -66.869 eV/cell
# Total magnetization   0.00 μB/f.u.
data_Sr2HfSc
_chemical_formula_sum 'Sr8 Hf4 Sc4'
_cell_length_a 8.1030
_cell_length_b 8.1030
_cell_length_c 8.1030
_cell_angle_alpha 90.00
_cell_angle_beta 90.00
_cell_angle_gamma 90.00
_space_group_name_H-M_alt 'F m -3 m'
_space_group_IT_number 225
_space_group_name_Hall '-F 4 2 3'
loop_
_atom_site_label
_atom_site_fract_x
_atom_site_fract_y
_atom_site_fract_z
_atom_site_occupancy
Sr1 0.2500 0.2500 0.2500 1
Hf1 0.0000 0.0000 0.0000 1
Sc1 0.0000 0.0000 0.5000 1



No. 16
# Sr2HfSc2 (GGA-PBE, optimized geometry)
# Excess energy over the best structure of this formula in the dataset   17 meV/atom
# Fermi-level density of states   7.9 states/eV/f.u.
# Calculated formation energy   0.747 eV/atom
# Energy   -44.491 eV/cell
# Total magnetization   0.00 μB/f.u.
data_Sr2HfSc2
_chemical_formula_sum 'Sr4 Hf2 Sc4'
_cell_length_a 3.9592
_cell_length_b 3.9592
_cell_length_c 22.2054
_cell_angle_alpha 90.00
_cell_angle_beta 90.00
_cell_angle_gamma 90.00
_space_group_name_H-M_alt 'I 4/m m m'
_space_group_IT_number 139
_space_group_name_Hall '-I 4 2'
loop_
_atom_site_label
_atom_site_fract_x
_atom_site_fract_y
_atom_site_fract_z
_atom_site_occupancy
Sr1 0.0000 0.0000 0.1051 1
Hf1 0.0000 0.0000 0.5000 1
Sc1 0.0000 0.5000 0.2500 1



No. 17
# Sr2Hf2Sc (GGA-PBE, optimized geometry)
# Excess energy over the best structure of this formula in the dataset   0 meV/atom
# Fermi-level density of states   6.0 states/eV/f.u.
# Calculated formation energy   0.719 eV/atom
# Energy   -52.013 eV/cell
# Total magnetization   1.11 μB/f.u.
data_Sr2Hf2Sc
_chemical_formula_sum 'Sr4 Hf4 Sc2'
_cell_length_a 3.9588
_cell_length_b 3.9588
_cell_length_c 22.8298
_cell_angle_alpha 90.00
_cell_angle_beta 90.00
_cell_angle_gamma 90.00
_space_group_name_H-M_alt 'I 4/m m m'
_space_group_IT_number 139
_space_group_name_Hall '-I 4 2'
loop_
_atom_site_label
_atom_site_fract_x
_atom_site_fract_y
_atom_site_fract_z
_atom_site_occupancy
Sr1 0.0000 0.0000 0.1119 1
Hf1 0.0000 0.5000 0.2500 1
Sc1 0.0000 0.0000 0.5000 1



No. 18
# Sr2HfSc2 (GGA-PBE, optimized geometry)
# Excess energy over the best structure of this formula in the dataset   39 meV/atom
# Fermi-level density of states   10.0 states/eV/f.u.
# Calculated formation energy   0.769 eV/atom
# Energy   -44.267 eV/cell
# Total magnetization   0.00 μB/f.u.
data_Sr2HfSc2
_chemical_formula_sum 'Sr4 Hf2 Sc4'
_cell_length_a 9.0406
_cell_length_b 9.0406
_cell_length_c 3.6785
_cell_angle_alpha 90.00
_cell_angle_beta 90.00
_cell_angle_gamma 90.00
_space_group_name_H-M_alt 'P 4/m b m'
_space_group_IT_number 127
_space_group_name_Hall '-P 4 2ab'
loop_
_atom_site_label
_atom_site_fract_x
_atom_site_fract_y
_atom_site_fract_z
_atom_site_occupancy
Sr1 0.1343 0.3657 0.0000 1
Hf1 0.0000 0.0000 0.0000 1
Sc1 0.1709 0.6709 0.5000 1



No. 19
# Sr2HfSc (GGA-PBE, optimized geometry)
# Excess energy over the best structure of this formula in the dataset   231 meV/atom
# Fermi-level density of states   7.5 states/eV/f.u.
# Calculated formation energy   0.964 eV/atom
# Energy   -63.165 eV/cell
# Total magnetization   1.79 μB/f.u.
data_Sr2HfSc
_chemical_formula_sum 'Sr8 Hf4 Sc4'
_cell_length_a 9.1135
_cell_length_b 9.1135
_cell_length_c 6.5327
_cell_angle_alpha 90.00
_cell_angle_beta 90.00
_cell_angle_gamma 90.00
_space_group_name_H-M_alt 'I -4 2 d'
_space_group_IT_number 122
_space_group_name_Hall 'I -4 2bw'
loop_
_atom_site_label
_atom_site_fract_x
_atom_site_fract_y
_atom_site_fract_z
_atom_site_occupancy
Sr1 0.2483 0.2500 0.1250 1
Hf1 0.0000 0.0000 0.5000 1
Sc1 0.0000 0.0000 0.0000 1



No. 20
# Sr2HfSc2 (GGA-PBE, optimized geometry)
# Excess energy over the best structure of this formula in the dataset   149 meV/atom
# Fermi-level density of states   7.2 states/eV/f.u.
# Calculated formation energy   0.879 eV/atom
# Energy   -43.172 eV/cell
# Total magnetization   1.45 μB/f.u.
data_Sr2HfSc2
_chemical_formula_sum 'Sr4 Hf2 Sc4'
_cell_length_a 4.3940
_cell_length_b 4.3940
_cell_length_c 16.4979
_cell_angle_alpha 90.00
_cell_angle_beta 90.00
_cell_angle_gamma 90.00
_space_group_name_H-M_alt 'I 4/m m m'
_space_group_IT_number 139
_space_group_name_Hall '-I 4 2'
loop_
_atom_site_label
_atom_site_fract_x
_atom_site_fract_y
_atom_site_fract_z
_atom_site_occupancy
Sr1 0.0000 0.5000 0.2500 1
Hf1 0.0000 0.0000 0.0000 1
Sc1 0.0000 0.0000 0.4184 1